Record 1
Below is a geometry-optimized Zr3Ir4 structure, with properties calculated at the PBE-GGA level.

## Properties
The value obtained for the final energy is -8.581 eV per atom. The value obtained for the total magnetization is 0.00 Bohr magnetons per cell. Its crystal system is hexagonal. Its space-group type is No. 191. For the density of states at the Fermi level, the calculation gives 11.663 states/eV/cell.

Cell lengths 5.580, 5.580, 4.798 Å; angles 90.00, 90.00, 120.00 degrees
Positions (direct):
Zr (0.000, 0.500, 0.000)
Zr (0.500, 0.000, 0.000)
Zr (0.500, 0.500, 0.000)
Ir (0.000, 0.000, 0.256)
Ir (0.000, 0.000, 0.744)
Ir (0.333, 0.667, 0.500)
Ir (0.667, 0.333, 0.500)



Record 2
Below is a geometry-optimized Zr3Ir8 structure, with properties calculated at the PBE-GGA level.

## Properties
The value obtained for the final energy is -8.974 eV per atom. The value obtained for the total magnetization is 0.00 Bohr magnetons per cell. Its crystal system is monoclinic. Its space-group type is No. 12. For the density of states at the Fermi level, the calculation gives 9.547 states/eV/cell.

Cell lengths 6.623, 6.623, 5.132 Å; angles 101.50, 101.50, 67.46 degrees
Positions (direct):
Zr (0.000, 0.000, 0.000)
Zr (0.000, 0.500, 0.500)
Zr (0.500, 0.000, 0.500)
Ir (0.172, 0.544, 0.051)
Ir (0.173, 0.827, 0.500)
Ir (0.431, 0.431, 0.668)
Ir (0.456, 0.828, 0.949)
Ir (0.544, 0.172, 0.051)
Ir (0.569, 0.569, 0.332)
Ir (0.827, 0.173, 0.500)
Ir (0.828, 0.456, 0.949)



Record 3
Below is a geometry-optimized Zr5Ir4 structure, with properties calculated at the PBE-GGA level.

## Properties
The value obtained for the final energy is -9.377 eV per atom. The value obtained for the total magnetization is 0.00 Bohr magnetons per cell. Its crystal system is hexagonal. Its space-group type is No. 193. For the density of states at the Fermi level, the calculation gives 18.072 states/eV/cell.

Cell lengths 8.459, 8.459, 5.521 Å; angles 90.00, 90.00, 120.00 degrees
Positions (direct):
Zr (0.000, 0.280, 0.250)
Zr (0.000, 0.720, 0.750)
Zr (0.280, 0.000, 0.250)
Zr (0.280, 0.280, 0.750)
Zr (0.333, 0.667, 0.000)
Zr (0.333, 0.667, 0.500)
Zr (0.667, 0.333, 0.000)
Zr (0.667, 0.333, 0.500)
Zr (0.720, 0.000, 0.750)
Zr (0.720, 0.720, 0.250)
Ir (0.000, 0.000, 0.000)
Ir (0.000, 0.000, 0.500)
Ir (0.000, 0.402, 0.750)
Ir (0.000, 0.598, 0.250)
Ir (0.402, 0.000, 0.750)
Ir (0.402, 0.402, 0.250)
Ir (0.598, 0.000, 0.250)
Ir (0.598, 0.598, 0.750)



Record 4
Below is a geometry-optimized ZrIr2 structure, with properties calculated at the PBE-GGA level.

## Properties
The value obtained for the final energy is -9.074 eV per atom. The value obtained for the total magnetization is 0.00 Bohr magnetons per cell. Its crystal system is tetragonal. Its space-group type is No. 141. For the density of states at the Fermi level, the calculation gives 4.502 states/eV/cell.

Cell lengths 9.379, 9.379, 9.379 Å; angles 158.45, 158.45, 30.67 degrees
Positions (direct):
Zr (0.375, 0.625, 0.750)
Zr (0.625, 0.375, 0.250)
Ir (0.051, 0.801, 0.250)
Ir (0.199, 0.949, 0.250)
Ir (0.801, 0.051, 0.750)
Ir (0.949, 0.199, 0.750)



Record 5
Below is a geometry-optimized ZrIr4 structure, with properties calculated at the PBE-GGA level.

## Properties
The value obtained for the final energy is -7.704 eV per atom. The value obtained for the total magnetization is 0.00 Bohr magnetons per cell. Its crystal system is cubic. Its space-group type is No. 229. For the density of states at the Fermi level, the calculation gives 8.959 states/eV/cell.

Cell lengths 5.059, 5.059, 5.059 Å; angles 109.47, 109.47, 109.47 degrees
Positions (direct):
Zr (0.000, 0.000, 0.000)
Ir (0.000, 0.000, 0.500)
Ir (0.000, 0.500, 0.000)
Ir (0.500, 0.000, 0.000)
Ir (0.500, 0.500, 0.500)



Record 6
Below is a geometry-optimized K structure, with properties calculated at the PBE-GGA level.

## Properties
The value obtained for the final energy is -1.064 eV per atom. The value obtained for the total magnetization is 0.00 Bohr magnetons per cell. Its crystal system is orthorhombic. Its space-group type is No. 69. For the density of states at the Fermi level, the calculation gives 1.617 states/eV/cell.

Cell lengths 8.918, 8.392, 4.515 Å; angles 81.44, 68.51, 30.05 degrees
Positions (direct):
K (0.131, 0.131, 0.869)
K (0.869, 0.869, 0.131)



Record 7
Below is a geometry-optimized K structure, with properties calculated at the PBE-GGA level.

## Properties
The value obtained for the final energy is -1.097 eV per atom. The value obtained for the total magnetization is 0.00 Bohr magnetons per cell. Its crystal system is triclinic. Its space-group type is No. 2. For the density of states at the Fermi level, the calculation gives 3.313 states/eV/cell.

Cell lengths 4.661, 4.678, 15.418 Å; angles 81.39, 81.59, 60.36 degrees
Positions (direct):
K (0.126, 0.137, 0.125)
K (0.289, 0.285, 0.625)
K (0.711, 0.715, 0.375)
K (0.874, 0.863, 0.875)



Record 8
Below is a geometry-optimized K structure, with properties calculated at the PBE-GGA level.

## Properties
The value obtained for the final energy is -1.062 eV per atom. The value obtained for the total magnetization is 0.00 Bohr magnetons per cell. Its crystal system is orthorhombic. Its space-group type is No. 62. For the density of states at the Fermi level, the calculation gives 6.294 states/eV/cell.

Cell lengths 11.560, 4.504, 11.428 Å; angles 90.00, 90.00, 90.00 degrees
Positions (direct):
K (0.006, 0.250, 0.182)
K (0.182, 0.250, 0.521)
K (0.318, 0.750, 0.021)
K (0.494, 0.750, 0.682)
K (0.506, 0.250, 0.318)
K (0.682, 0.250, 0.979)
K (0.818, 0.750, 0.479)
K (0.994, 0.750, 0.818)



Record 9
Below is a geometry-optimized K structure, with properties calculated at the PBE-GGA level.

## Properties
The value obtained for the final energy is -1.049 eV per atom. The value obtained for the total magnetization is 0.00 Bohr magnetons per cell. Its crystal system is tetragonal. Its space-group type is No. 87. For the density of states at the Fermi level, the calculation gives 5.694 states/eV/cell.

Cell lengths 11.840, 11.840, 11.840 Å; angles 92.00, 92.00, 158.46 degrees
Positions (direct):
K (0.096, 0.356, 0.452)
K (0.101, 0.839, 0.940)
K (0.161, 0.101, 0.261)
K (0.356, 0.904, 0.260)
K (0.644, 0.096, 0.740)
K (0.839, 0.899, 0.739)
K (0.899, 0.161, 0.060)
K (0.904, 0.644, 0.548)



Record 10
Below is a geometry-optimized K structure, with properties calculated at the PBE-GGA level.

## Properties
The value obtained for the final energy is -1.097 eV per atom. The value obtained for the total magnetization is 0.00 Bohr magnetons per cell. Its crystal system is hexagonal. Its space-group type is No. 194. For the density of states at the Fermi level, the calculation gives 1.695 states/eV/cell.

Cell lengths 4.676, 4.676, 7.607 Å; angles 90.00, 90.00, 120.00 degrees
Positions (direct):
K (0.333, 0.667, 0.250)
K (0.667, 0.333, 0.750)



Record 11
Below is a geometry-optimized K structure, with properties calculated at the PBE-GGA level.

## Properties
The value obtained for the final energy is -0.992 eV per atom. The value obtained for the total magnetization is 0.00 Bohr magnetons per cell. Its crystal system is cubic. Its space-group type is No. 221. For the density of states at the Fermi level, the calculation gives 0.673 states/eV/cell.

Cell lengths 4.245, 4.245, 4.245 Å; angles 90.00, 90.00, 90.00 degrees
Positions (direct):
K (0.000, 0.000, 0.000)



Record 12
Below is a geometry-optimized K structure, with properties calculated at the PBE-GGA level.

## Properties
The value obtained for the final energy is -1.034 eV per atom. The value obtained for the total magnetization is 0.00 Bohr magnetons per cell. Its crystal system is tetragonal. Its space-group type is No. 141. For the density of states at the Fermi level, the calculation gives 1.610 states/eV/cell.

Cell lengths 8.478, 8.478, 8.478 Å; angles 150.25, 150.25, 42.58 degrees
Positions (direct):
K (0.375, 0.625, 0.750)
K (0.625, 0.375, 0.250)